Record 1
# La2GaOsO

Crystalline La2GaOsO at its relaxed geometry (GGA-PBEsol, the Alexandria database).

## Properties
ΔE_f (raw), eV per atom: -0.867

a b c (Å): 4.2035 4.8493 4.8493
angles (deg): 90.00 90.00 90.00
Atoms (fractional coordinates):
Ga: 0.5000 0.0000 0.0000
Os: 0.5000 0.5000 0.5000
O: 0.0000 0.0000 0.0000
La: 0.0000 0.5000 0.0000
La: 0.0000 0.0000 0.5000

=====

Record 2
# LaPr3Ga4O12

Crystalline LaPr3Ga4O12 at its relaxed geometry (GGA-PBEsol, the Alexandria database).

## Properties
ΔE_f (raw), eV per atom: -2.707

a b c (Å): 5.4663 5.5063 7.7443
angles (deg): 90.00 90.00 90.05
Atoms (fractional coordinates):
O: 0.0748 0.4844 0.5000
O: 0.7861 0.7871 0.2914
O: 0.9199 0.5163 0.0000
O: 0.2836 0.7155 0.7942
Pr: 0.9897 0.0399 0.5000
Ga: 0.9997 0.5006 0.7508
Ga: 0.5001 0.9986 0.2495
O: 0.2173 0.2162 0.2073
O: 0.7861 0.7871 0.7086
O: 0.5792 0.0167 0.0000
O: 0.7175 0.2839 0.7083
Ga: 0.5001 0.9986 0.7505
O: 0.2173 0.2162 0.7927
Ga: 0.9997 0.5006 0.2492
Pr: 0.4892 0.4587 0.0000
O: 0.2836 0.7155 0.2058
O: 0.7175 0.2839 0.2917
La: 0.5080 0.5339 0.5000
Pr: 0.0099 0.9604 0.0000
O: 0.4208 0.9861 0.5000